Record 1
Below is a relaxed K2GaS2 crystal, with properties calculated at the PBE level. Values from VASP.

Calculated values
M_tot: 0.1379 μB per atom
formation energy without anion corrections: -0.756 eV per atom
space-group type: C2/m (12)
crystal system: monoclinic

The structure in Quantum ESPRESSO input format:
```
&SYSTEM
  ibrav = 0, nat = 10, ntyp = 3
/
ATOMIC_SPECIES
K 39.10 K.upf
S 32.06 S.upf
Ga 69.72 Ga.upf
CELL_PARAMETERS angstrom
-5.4617 -3.2315 -0.7304
3.7852 -1.5608 6.5352
-4.5814 7.8476 -0.4618
ATOMIC_POSITIONS angstrom
K -1.1862 1.1386 3.8319
K -2.8516 -2.6788 5.2405
K -5.0718 1.9167 1.5111
K -3.4064 5.7341 0.1024
S -3.8467 -0.5376 3.2083
S -6.4047 4.6042 -0.4125
S 0.1467 -1.5489 5.7554
S -2.4113 3.5929 2.1346
Ga -3.1228 -1.2971 1.1558
Ga -3.1352 4.3525 4.1871
```

***

Record 2
Below is a relaxed Sr2MgSn3Pt4 crystal, with properties calculated at the PBE level. Values from VASP.

Calculated values
M_tot: 0.0000 μB per atom
space-group type: P-4m2 (115)
crystal system: tetragonal
calculated formation energy: -0.81 eV/atom

The structure in Quantum ESPRESSO input format:
```
&SYSTEM
  ibrav = 0, nat = 10, ntyp = 4
/
ATOMIC_SPECIES
Pt 195.08 Pt.upf
Sn 118.71 Sn.upf
Mg 24.30 Mg.upf
Sr 87.62 Sr.upf
CELL_PARAMETERS angstrom
4.6426 0.0000 0.0000
0.0000 4.6426 0.0000
0.0000 0.0000 10.8566
ATOMIC_POSITIONS angstrom
Pt 0.0000 2.3213 4.0209
Pt 0.0000 0.0000 0.0000
Pt 2.3213 2.3213 0.0000
Pt 2.3213 0.0000 6.8356
Sn 2.3213 0.0000 9.4933
Sn 0.0000 0.0000 5.4283
Sn 0.0000 2.3213 1.3632
Mg 2.3213 2.3213 5.4283
Sr 0.0000 2.3213 8.2206
Sr 2.3213 0.0000 2.6360
```

***

Record 3
Below is a relaxed Ac2La5DyY crystal, with properties calculated at the PBE level. Values from VASP.

Calculated values
M_tot: 0.0000 μB per atom
space-group type: Cmcm (63)
crystal system: orthorhombic
calculated formation energy: 0.10 eV/atom

The structure in Quantum ESPRESSO input format:
```
&SYSTEM
  ibrav = 0, nat = 18, ntyp = 4
/
ATOMIC_SPECIES
La 138.91 La.upf
Ac 227.00 Ac.upf
Dy 162.50 Dy.upf
Y 88.91 Y.upf
CELL_PARAMETERS angstrom
-4.2312 1.0945 -3.6284
0.2242 -11.6937 0.6575
-6.8592 0.3237 8.0964
ATOMIC_POSITIONS angstrom
La -0.0729 -0.0887 0.0583
La -3.2336 -6.0772 1.9376
La -5.8313 -5.9474 5.0060
La -8.5728 -4.1539 4.2976
La -7.4785 -10.3431 1.1545
La -6.0684 -2.0396 2.0150
La -7.0930 -10.8979 4.9840
La -3.8886 0.6280 0.2777
La -1.4809 -8.3924 -0.8047
La -4.3137 -4.3620 -0.7319
Ac -2.3053 -2.4996 1.9343
Ac -5.2468 -7.9385 -0.7226
Ac -8.8638 -7.7615 3.5487
Ac -5.5454 -2.3404 5.7608
Dy -6.6815 -5.6588 1.6381
Dy -0.8657 -4.7733 -0.4304
Y -2.5637 -1.7558 -1.9865
Y -4.9865 -8.6761 3.1978
```